First-principles (PBE) data for ScHg2Au2 after structural relaxation, as listed in Alexandria.

a = 7.320 Å, b = 7.320 Å, c = 4.070 Å
α = 90.00°, β = 90.00°, γ = 90.00°
Atoms (fractional coordinates):
Sc 0.000 0.000 0.000
Sc 0.500 0.500 0.000
Hg 0.172 0.328 0.500
Hg 0.328 0.828 0.500
Hg 0.672 0.172 0.500
Hg 0.828 0.672 0.500
Au 0.134 0.634 0.000
Au 0.366 0.134 0.000
Au 0.634 0.866 0.000
Au 0.866 0.366 0.000

Computed properties:
Crystal system: tetragonal
E in eV/atom: -2.862
Polymorph energy (0 for the lowest one) in eV/f.u.: 0.00
Energy of formation from the pure elements in eV/atom: -0.1640